First-principles (PBE-GGA) data for crystalline LaAlAu3 at its relaxed geometry, as listed in the Alexandria database.

Calculated values
Space-group type   P6_3/mmc
Energy above the lowest structure with this stoichiometry   0.000 eV/atom
Calculated formation energy   -0.678 eV per atom

```
LaAlAu3
1.0
5.6811 0.0001 -0.0001
-0.0002 6.6667 0.0000
0.0004 -3.3337 5.7736
La Al Au
2 2 6
Cartesian
4.2607 3.3333 1.9248 La
1.4206 -0.0004 3.8491 La
5.6815 -3.3335 5.7735 Al
2.8408 3.3332 5.7734 Al
4.2610 1.4257 4.6723 Au
1.4202 3.3332 3.5712 Au
1.4204 1.9073 1.1011 Au
4.2610 -0.0002 2.2023 Au
1.4200 4.7595 1.1011 Au
4.2613 -1.4260 4.6724 Au
```

***

First-principles (PBE-GGA) data for crystalline H2Pd5S at its relaxed geometry, as listed in the Alexandria database.

Calculated values
Space-group type   P2_1/c

```
H2Pd5S
1.0
4.6350 0.0000 -0.1958
0.0000 5.8841 0.0000
-0.8545 0.0000 14.8073
H Pd S
8 20 4
Cartesian
2.2724 1.5848 4.3915 H
2.1961 2.2763 11.8318 H
0.3058 0.6657 4.5261 H
-0.4723 1.3572 11.8931 H
4.2528 4.5269 2.7184 H
3.4746 5.2184 10.0854 H
1.5844 3.6077 2.7796 H
1.5081 4.2992 10.2200 H
0.8946 1.7719 3.1590 Pd
1.7384 1.3347 0.2912 Pd
0.6355 2.7398 12.6461 Pd
1.1130 1.6883 5.9452 Pd
3.1567 0.0805 2.3791 Pd
0.4120 2.8615 9.8807 Pd
3.0032 1.2538 13.2509 Pd
3.3803 0.2023 5.1446 Pd
3.6287 1.6074 7.5970 Pd
2.7849 1.1701 10.4648 Pd
0.9956 4.7139 4.1467 Pd
0.1518 4.2767 7.0145 Pd
0.4002 5.6818 9.4669 Pd
0.7773 4.6303 1.3606 Pd
3.3684 3.0226 4.7308 Pd
0.6237 5.8035 12.2324 Pd
2.6675 4.1958 8.6663 Pd
3.1449 3.1443 1.9653 Pd
2.0420 4.5494 14.3202 Pd
2.8858 4.1122 11.4525 Pd
4.1423 1.4189 0.7920 S
1.3976 1.5232 8.2936 S
2.3829 4.3609 6.3179 S
-0.3619 4.4652 13.8194 S
```

***

First-principles (PBE-GGA) data for crystalline Tm2ZnHg4 at its relaxed geometry, as listed in the Alexandria database.

Calculated values
Space-group type   C2/m
Calculated formation energy   -0.284 eV per atom

```
Tm2ZnHg4
1.0
4.3275 -0.1479 2.2813
1.8205 3.9287 2.2814
0.7756 0.4770 9.8124
Tm Zn Hg
2 1 4
Cartesian
5.7726 3.5500 11.0017 Tm
1.1510 0.7078 3.3734 Tm
0.0000 0.0000 0.0000 Zn
4.6319 2.8484 7.6408 Hg
2.2916 1.4094 6.7344 Hg
3.6975 2.2738 3.8586 Hg
3.2261 1.9840 10.5165 Hg
```

***

First-principles (PBE-GGA) data for crystalline Y2TcO8 at its relaxed geometry, as listed in the Alexandria database.

Calculated values
Space-group type   C2/m
Energy relative to the elements, uncorrected   -1.5527 eV/atom

```
Y2TcO8
1.0
-3.2946 3.7369 3.2262
1.8075 2.1826 6.7056
2.9672 4.2895 1.7556
Y Tc O
2 1 8
Cartesian
1.7461 2.3968 2.7008 Y
3.0287 4.0753 5.7604 Y
-1.6473 1.8685 1.6131 Tc
1.5569 2.4687 5.0980 O
3.8058 5.6448 7.4096 O
-1.0667 4.0985 6.8284 O
1.0576 5.4420 7.6241 O
0.4225 4.7670 4.0634 O
-0.4204 1.8211 3.1034 O
-2.3256 4.5642 4.2779 O
-0.0768 7.7403 6.5895 O
```

***

First-principles (PBE-GGA) data for crystalline LiCuC2 at its relaxed geometry, as listed in the Alexandria database.

Calculated values
Space-group type   I4_1/amd
Calculated formation energy   1.237 eV per atom

```
LiCuC2
1.0
-0.4634 0.1199 3.4224
-2.1468 -2.7009 -0.1961
3.9869 -5.5599 2.4793
C Cu Li
4 2 2
Cartesian
0.3230 -1.6227 3.5890 C
-0.7507 -2.9731 3.4929 C
2.5475 -4.4633 3.1183 C
2.3170 -4.4018 4.8297 C
0.0000 0.0000 0.0000 Cu
1.1092 -3.3652 3.7575 Cu
-1.3051 -1.2905 1.6132 Li
0.2675 -4.7756 1.9482 Li
```

***

First-principles (PBE-GGA) data for crystalline B4Pd3PbO12 at its relaxed geometry, as listed in the Alexandria database.

Calculated values
Space-group type   R32
Energy relative to the elements, uncorrected   -1.3667 eV/atom

```
B4Pd3PbO12
1.0
6.2741 0.0574 0.0797
-1.4560 6.1031 0.0797
-1.4560 -1.8617 5.8128
B Pd Pb O
4 3 1 12
Cartesian
5.1236 -0.5430 2.9861 B
-1.7615 1.2948 5.5393 B
1.6810 5.6964 0.4330 B
1.6810 2.1494 2.9861 B
2.7903 2.7821 0.0797 Pd
2.0278 -0.9968 3.2290 Pd
-1.4560 2.5135 2.6635 Pd
0.0000 0.0000 0.0000 Pb
1.6810 1.0227 3.7971 O
4.8524 2.9367 0.6341 O
-1.4903 4.6297 2.9861 O
1.6810 -1.1182 5.3382 O
0.6559 5.6167 1.3344 O
-0.6603 0.5119 5.7498 O
5.2932 0.6338 2.3105 O
2.7062 4.8163 0.2224 O
-1.9311 2.3089 4.6378 O
4.0223 -0.9912 3.6617 O
2.7746 2.4209 2.1751 O
0.5875 3.0046 2.9861 O
```

***

First-principles (PBE-GGA) data for crystalline Zr2ScCo at its relaxed geometry, as listed in the Alexandria database.

Calculated values
Space-group type   P4/mmm
Energy above the lowest structure with this stoichiometry   0.134 eV/atom
Calculated formation energy   -0.062 eV per atom

```
Zr2ScCo
1.0
-0.5810 2.9668 -1.2080
-3.1862 -0.6619 -0.0931
-0.7557 2.6654 6.9094
Co Sc Zr
1 1 2
Cartesian
-2.0725 1.8188 1.0768 Co
-2.4504 3.1515 4.5315 Sc
-0.0336 0.1186 0.3074 Zr
-0.3442 1.2141 3.1473 Zr
```

***

First-principles (PBE-GGA) data for crystalline VNiH4 at its relaxed geometry, as listed in the Alexandria database.

Calculated values
Space-group type   C2/c
Energy above the lowest structure with this stoichiometry   0.000 eV/atom

```
VNiH4
1.0
4.1341 0.5056 0.0000
-0.5088 4.1133 0.0000
-1.8126 -2.3095 4.1767
V Ni H
2 2 8
Cartesian
0.7791 2.1831 1.1310 V
1.0335 0.1264 3.0457 V
-1.2879 1.9303 3.2165 Ni
3.1005 0.3792 0.9602 Ni
2.1947 -0.7778 4.1754 H
2.0085 1.2917 2.0891 H
-0.1277 1.0306 4.1754 H
-0.4503 3.0744 2.0891 H
2.2629 -0.7649 2.0876 H
1.9403 1.2788 0.0013 H
-0.1959 1.0177 2.0876 H
-0.3821 3.0873 0.0013 H
```

***

| no. | total DFT energy (no corrections) (eV per formula unit) |
| --- | --- |
| 1 | -21.89 |
| 2 | -37.48 |
| 3 | -13.41 |
| 4 | -80.04 |
| 5 | -19.51 |
| 6 | -132.83 |
| 7 | -30.78 |
| 8 | -28.47 |